The following is a PBE calculation of an optimized crystal structure of CsRb3Rh, from Alexandria via LeMat-Bulk.

Unit cell a=7.6984 b=7.6984 c=7.6984 alpha=90.00 beta=90.00 gamma=90.00
Last column: nearest neighbours and their distance in Å.
Positions (direct):
Cs1 0.0000 0.0000 0.0000  6 Rb 3.85
Rh1 0.5000 0.5000 0.5000  12 Rb 5.44
Rb1 0.0000 0.5000 0.0000  2 Cs 3.85
Rb2 0.0000 0.0000 0.5000  2 Cs 3.85
Rb3 0.5000 0.0000 0.0000  2 Cs 3.85

Properties
V (A^3/atom): 91.25
Energy of formation from the pure elements (eV/atom): 1.265
Offset from the most stable computed form (meV/atom): 793

The following is a PBE calculation of an optimized crystal structure of CsRb3Rh, from Alexandria via LeMat-Bulk.

Unit cell a=6.6930 b=6.6930 c=6.6930 alpha=90.00 beta=90.00 gamma=90.00
Last column: nearest neighbours and their distance in Å.
Positions (direct):
Cs1 0.5000 0.5000 0.5000  12 Rb 4.73
Rh1 0.0000 0.0000 0.0000  6 Rb 3.35
Rb1 0.0000 0.5000 0.0000  2 Rh 3.35
Rb2 0.0000 0.0000 0.5000  2 Rh 3.35
Rb3 0.5000 0.0000 0.0000  2 Rh 3.35

Properties
V (A^3/atom): 59.96
Energy of formation from the pure elements (eV/atom): 0.472
Offset from the most stable computed form (meV/atom): 0

The following is a PBE calculation of an optimized crystal structure of Cs3RbRh, from Alexandria via LeMat-Bulk.

Unit cell a=6.7620 b=6.7620 c=6.7620 alpha=90.00 beta=90.00 gamma=90.00
Last column: nearest neighbours and their distance in Å.
Positions (direct):
Cs1 0.0000 0.5000 0.0000  2 Rh 3.38
Cs2 0.0000 0.0000 0.5000  2 Rh 3.38
Cs3 0.5000 0.0000 0.0000  2 Rh 3.38
Rh1 0.0000 0.0000 0.0000  6 Cs 3.38
Rb1 0.5000 0.5000 0.5000  12 Cs 4.78

Properties
V (A^3/atom): 61.84
Energy of formation from the pure elements (eV/atom): 0.433

The following is a PBE calculation of an optimized crystal structure of CsRbRh2, from Alexandria via LeMat-Bulk.

Unit cell a=4.9856 b=4.9856 c=11.5934 alpha=77.58 beta=77.58 gamma=90.00
Last column: nearest neighbours and their distance in Å.
Positions (direct):
Cs1 0.0000 0.0000 0.0000  4 Rh 3.05
Cs2 0.7500 0.2500 0.5000  4 Rh 3.05
Rh1 0.8066 0.1250 0.2500  2 Rh 2.58
Rh2 0.9434 0.6250 0.2500  2 Rh 2.58
Rh3 0.3750 0.1934 0.7500  2 Rh 2.58
Rh4 0.8750 0.0566 0.7500  2 Rh 2.58
Rb1 0.5000 0.5000 0.0000  4 Cs 3.53, 4 Rh 3.72
Rb2 0.2500 0.7500 0.5000  4 Cs 3.53, 4 Rh 3.72

Properties
V (A^3/atom): 34.32
Energy of formation from the pure elements (eV/atom): 1.039

The following is a PBE calculation of an optimized crystal structure of CsRbRuRh2, from Alexandria via LeMat-Bulk.

Unit cell a=4.8383 b=6.0499 c=4.8383 alpha=90.00 beta=90.00 gamma=90.00
Last column: nearest neighbours and their distance in Å.
Positions (direct):
Cs1 0.5000 0.5000 0.5000  4 Rb 3.42
Ru1 0.0000 0.0000 0.0000  4 Rh 2.42
Rh1 0.0000 0.0000 0.5000  2 Ru 2.42
Rh2 0.5000 0.0000 0.0000  2 Ru 2.42
Rb1 0.0000 0.5000 0.0000  2 Ru 3.02

Properties
V (A^3/atom): 28.33
Energy of formation from the pure elements (eV/atom): 0.933

The following is a PBE calculation of an optimized crystal structure of CsRbTc2Rh, from Alexandria via LeMat-Bulk.

Unit cell a=5.3083 b=5.1824 c=5.3083 alpha=90.00 beta=90.00 gamma=90.00
Last column: nearest neighbours and their distance in Å.
Positions (direct):
Cs1 0.0000 0.0000 0.0000  2 Rh 2.59, 4 Tc 2.65
Rh1 0.0000 0.5000 0.0000  2 Cs 2.59
Tc1 0.0000 0.0000 0.5000  2 Cs 2.65
Tc2 0.5000 0.0000 0.0000  2 Cs 2.65
Rb1 0.5000 0.5000 0.5000  8 Tc 3.71, 4 Rh 3.75

Properties
V (A^3/atom): 29.21
Energy of formation from the pure elements (eV/atom): 2.552